Record 1
VASP calculation (GGA-PBEsol) on BaBe2Sb after structural relaxation.

Unit cell a=5.0860 b=5.0860 c=5.0860 alpha=60.00 beta=60.00 gamma=60.00
With the nearest neighbours (Å) after each atom.
Fractional coordinates of all 4 atoms:
Ba 0.0000 0.0000 0.0000  4 Sb 3.11, 4 Be 3.11
Be 0.2500 0.2500 0.2500  4 Be 3.11, 4 Ba 3.11
Be 0.5000 0.5000 0.5000  4 Sb 3.11, 4 Be 3.11
Sb 0.7500 0.7500 0.7500  4 Be 3.11, 4 Ba 3.11

Computed properties:
- E_form (uncorrected): 638 meV per atom
- E_tot: -3.039 eV/atom

=====

Record 2
VASP calculation (GGA-PBEsol) on Ba2BeGe after structural relaxation.

Unit cell a=5.5775 b=5.5775 c=5.5775 alpha=60.00 beta=60.00 gamma=60.00
With the nearest neighbours (Å) after each atom.
Fractional coordinates of all 4 atoms:
Ba 0.2500 0.2500 0.2500  4 Ge 3.42, 4 Be 3.42
Ba 0.7500 0.7500 0.7500  4 Ge 3.42, 4 Be 3.42
Be 0.0000 0.0000 0.0000  8 Ba 3.42
Ge 0.5000 0.5000 0.5000  8 Ba 3.42

Computed properties:
- E_form: 0.06 eV/atom
- E_tot: -3.247 eV/atom

=====

What did the second record say?
VASP calculation (GGA-PBEsol) on Ba2BeGe after structural relaxation.

Unit cell a=5.5775 b=5.5775 c=5.5775 alpha=60.00 beta=60.00 gamma=60.00
With the nearest neighbours (Å) after each atom.
Fractional coordinates of all 4 atoms:
Ba 0.2500 0.2500 0.2500  4 Ge 3.42, 4 Be 3.42
Ba 0.7500 0.7500 0.7500  4 Ge 3.42, 4 Be 3.42
Be 0.0000 0.0000 0.0000  8 Ba 3.42
Ge 0.5000 0.5000 0.5000  8 Ba 3.42

Computed properties:
- E_form: 0.06 eV/atom
- E_tot: -3.247 eV/atom